! PBE CaTi3Nb, optimized geometry; values from VASP
! **Formation energy**: 0.705 eV/atom
! **Mass density**: 3.84 Mg/m³
! **Energy above the lowest structure with this stoichiometry**: 0.000 eV per atom
&SYSTEM
  ibrav = 0, nat = 5, ntyp = 3
/
ATOMIC_SPECIES
Ca 40.08 Ca.upf
Ti 47.87 Ti.upf
Nb 92.91 Nb.upf
ATOMIC_POSITIONS angstrom
Ca 0.0000 0.0000 0.0000
Ti 0.0000 2.4641 2.4641
Ti 2.4641 0.0000 2.4641
Ti 2.4641 2.4641 0.0000
Nb 2.4641 2.4641 2.4641
CELL_PARAMETERS angstrom
4.9282 0.0000 0.0000
0.0000 4.9282 0.0000
0.0000 0.0000 4.9282



! PBE Ti2VPt, optimized geometry; values from VASP
! **Formation energy**: -0.519 eV/atom
! **Mass density**: 9.33 Mg/m³
! **Energy above the lowest structure with this stoichiometry**: 0.020 eV per atom
&SYSTEM
  ibrav = 0, nat = 16, ntyp = 3
/
ATOMIC_SPECIES
Ti 47.87 Ti.upf
V 50.94 V.upf
Pt 195.08 Pt.upf
ATOMIC_POSITIONS angstrom
Ti 1.5605 1.5605 1.5605
Ti 1.5605 1.5605 4.6816
Ti 1.5605 4.6816 1.5605
Ti 1.5605 4.6816 4.6816
Ti 4.6816 1.5605 1.5605
Ti 4.6816 1.5605 4.6816
Ti 4.6816 4.6816 1.5605
Ti 4.6816 4.6816 4.6816
V 0.0000 0.0000 0.0000
V 0.0000 3.1211 3.1211
V 3.1211 0.0000 3.1211
V 3.1211 3.1211 0.0000
Pt 0.0000 0.0000 3.1211
Pt 0.0000 3.1211 0.0000
Pt 3.1211 0.0000 0.0000
Pt 3.1211 3.1211 3.1211
CELL_PARAMETERS angstrom
6.2421 0.0000 0.0000
0.0000 6.2421 0.0000
0.0000 0.0000 6.2421



! PBE HgTe2Br, optimized geometry; values from VASP
! **Mass density**: 6.74 Mg/m³
! **Formation energy from raw total energies**: -98 meV/atom
! **Energy above the lowest structure with this stoichiometry**: 0.012 eV per atom
&SYSTEM
  ibrav = 0, nat = 4, ntyp = 3
/
ATOMIC_SPECIES
Hg 200.59 Hg.upf
Te 127.60 Te.upf
Br 79.90 Br.upf
ATOMIC_POSITIONS angstrom
Hg 0.0000 0.0000 0.0000
Te 1.7432 2.1509 1.0149
Te 1.6319 2.1509 4.8004
Br -0.9522 0.0000 2.9077
CELL_PARAMETERS angstrom
5.2795 0.0000 0.0000
0.0000 4.3017 0.0000
-1.9044 0.0000 5.8153



! PBE CePrCu3, optimized geometry; values from VASP
! **Formation energy**: -0.134 eV/atom
! **Mass density**: 7.40 Mg/m³
&SYSTEM
  ibrav = 0, nat = 10, ntyp = 3
/
ATOMIC_SPECIES
Ce 140.12 Ce.upf
Pr 140.91 Pr.upf
Cu 63.55 Cu.upf
ATOMIC_POSITIONS angstrom
Ce 1.7973 11.5964 3.2798
Ce 1.7973 -11.5964 1.0933
Pr 1.7973 8.0108 1.0933
Pr 1.7973 -8.0108 3.2798
Cu 1.7973 4.4013 1.0933
Cu 1.7973 3.0788 3.2798
Cu 1.7973 0.6052 3.2798
Cu 1.7973 -0.6052 1.0933
Cu 1.7973 -3.0788 1.0933
Cu 1.7973 -4.4013 3.2798
CELL_PARAMETERS angstrom
1.7973 -13.4601 0.0000
1.7973 13.4601 0.0000
0.0000 0.0000 4.3731



! PBE Mg2TaSi, optimized geometry; values from VASP
! **Mass density**: 5.76 Mg/m³
! **Formation energy from raw total energies**: 63 meV/atom
&SYSTEM
  ibrav = 0, nat = 8, ntyp = 3
/
ATOMIC_SPECIES
Mg 24.30 Mg.upf
Ta 180.95 Ta.upf
Si 28.09 Si.upf
ATOMIC_POSITIONS angstrom
Mg 0.0000 0.0000 0.0000
Mg 0.0000 2.2993 2.5856
Mg 1.8048 0.0000 2.5856
Mg 1.8048 2.2993 0.0000
Ta 0.0000 2.2993 6.5926
Ta 1.8048 0.0000 6.5926
Si 0.0000 0.0000 4.7199
Si 1.8048 2.2993 4.7199
CELL_PARAMETERS angstrom
3.6096 0.0000 0.0000
0.0000 4.5986 0.0000
0.0000 0.0000 8.9440



! PBE K2ReBr, optimized geometry; values from VASP
! **Mass density**: 3.97 Mg/m³
! **Formation energy from raw total energies**: -138 meV/atom
! **Energy above the lowest structure with this stoichiometry**: 0.037 eV per atom
&SYSTEM
  ibrav = 0, nat = 16, ntyp = 3
/
ATOMIC_SPECIES
K 39.10 K.upf
Re 186.21 Re.upf
Br 79.90 Br.upf
ATOMIC_POSITIONS angstrom
K 0.0000 0.0000 0.0000
K -1.2913 0.0000 3.9547
K 0.8400 0.0000 7.9235
K 3.2824 0.0000 3.2000
K 7.9971 1.8819 0.0000
K 6.7058 1.8819 3.9547
K 8.8371 1.8819 7.9235
K 11.2795 1.8819 3.2000
Re 3.8944 1.8819 6.2379
Re 5.2437 0.0000 6.5791
Re 11.8915 0.0000 6.2379
Re 13.2407 1.8819 6.5791
Br 0.8068 1.8819 2.4664
Br 4.9165 1.8819 1.0480
Br 8.8039 0.0000 2.4664
Br 12.9136 0.0000 1.0480
CELL_PARAMETERS angstrom
15.9942 0.0000 0.0000
0.0000 3.7639 0.0000
-3.5082 0.0000 9.5596



! PBE Nd4ThHg5, optimized geometry; values from VASP
! **Formation energy**: -0.413 eV/atom
! **Mass density**: 10.68 Mg/m³
&SYSTEM
  ibrav = 0, nat = 10, ntyp = 3
/
ATOMIC_SPECIES
Nd 144.24 Nd.upf
Th 232.04 Th.upf
Hg 200.59 Hg.upf
ATOMIC_POSITIONS angstrom
Nd 0.0000 0.0000 1.9206
Nd 0.0000 0.0000 5.7613
Nd 0.0000 0.0000 13.4433
Nd 0.0000 0.0000 17.2839
Th 0.0000 0.0000 9.6023
Hg 1.9150 1.9150 0.0000
Hg 1.9150 1.9150 3.8462
Hg 1.9150 1.9150 7.6641
Hg 1.9150 1.9150 11.5404
Hg 1.9150 1.9150 15.3583
CELL_PARAMETERS angstrom
3.8300 0.0000 0.0000
0.0000 3.8300 0.0000
0.0000 0.0000 19.2045



! PBE DySc5Rh6, optimized geometry; values from VASP
! **Formation energy**: -0.984 eV/atom
! **Mass density**: 8.00 Mg/m³
&SYSTEM
  ibrav = 0, nat = 12, ntyp = 3
/
ATOMIC_SPECIES
Dy 162.50 Dy.upf
Sc 44.96 Sc.upf
Rh 102.91 Rh.upf
ATOMIC_POSITIONS angstrom
Dy 0.0000 0.0000 0.0000
Sc 0.0000 0.0000 3.2594
Sc 2.3084 2.3444 0.0000
Sc 2.3084 2.3143 3.2594
Sc 2.3084 -2.3143 3.2594
Sc 2.3084 -2.3444 0.0000
Rh 2.3084 4.5802 1.6548
Rh 2.3084 4.5802 4.8640
Rh 2.3084 0.0000 1.6867
Rh 2.3084 0.0000 4.8320
Rh 2.3084 -4.5802 1.6548
Rh 2.3084 -4.5802 4.8640
CELL_PARAMETERS angstrom
2.3084 -6.9295 0.0000
2.3084 6.9295 0.0000
0.0000 0.0000 6.5188